No. 1
Compound: K2BaY
Source: Alexandria
Functional: PBE-GGA
Structure: optimized geometry

```
K2BaY
1.0
-2.224 -0.827 3.183
2.559 -2.970 -0.631
9.589 6.482 8.382
Ba K Y
1 2 1
Cartesian
7.078 2.773 7.317
9.513 6.431 8.316
2.816 -0.107 3.592
4.900 3.312 4.283
```

## Properties
E_tot = -2.38 eV per atom
Space group = No. 35
E above lowest polymorph = 3.8 meV/atom
Crystal system = orthorhombic
Total magnetization = 0.000 μB per atom
E_form = 267 meV per atom

***

No. 2
Compound: Ba2Hg3Pb2
Source: Alexandria
Functional: PBE-GGA
Structure: optimized geometry

```
Ba2Hg3Pb2
1.0
5.210 0.000 0.000
-2.605 6.258 0.364
0.000 -2.445 7.105
Pb Hg Ba
2 3 2
Cartesian
0.000 1.427 2.048
2.605 2.386 5.421
2.605 0.000 0.000
0.000 3.635 4.368
2.605 0.178 3.101
0.000 -0.193 5.506
2.605 4.006 1.963
```

## Properties
E_tot = -2.15 eV per atom
Space group = No. 12
Crystal system = monoclinic
Total magnetization = 0.000 μB per atom
E_form = -411 meV per atom